1.
A relaxed AcMgNp2O8 crystal. Source: the Alexandria database, functional PBE.

Values from the calculation:
The space-group type is No. 82. The crystal system is tetragonal. The formation energy (no corrections) is -272.7 kJ per mole of atoms.

a = 6.566 Å, b = 6.566 Å, c = 6.566 Å
α = 130.76°, β = 130.76°, γ = 72.19°
Atoms (fractional coordinates):
Ac1 0.000 0.000 0.000
Mg1 0.750 0.250 0.500
Np1 0.250 0.750 0.500
Np2 0.500 0.500 0.000
O1 0.106 0.572 0.965
O2 0.196 0.119 0.542
O3 0.346 0.804 0.923
O4 0.428 0.392 0.533
O5 0.577 0.654 0.458
O6 0.608 0.141 0.035
O7 0.859 0.894 0.467
O8 0.881 0.423 0.077

2.
A relaxed AcMg2NpO8 crystal. Source: the Alexandria database, functional PBE.

Values from the calculation:
The space-group type is No. 10. The crystal system is monoclinic. The formation energy (no corrections) is -241.2 kJ per mole of atoms.

a = 4.729 Å, b = 7.353 Å, c = 4.732 Å
α = 90.00°, β = 90.25°, γ = 90.00°
Atoms (fractional coordinates):
Ac1 0.000 0.000 0.000
Mg1 0.500 0.287 0.500
Mg2 0.500 0.713 0.500
Np1 0.000 0.500 0.000
O1 0.194 0.284 0.197
O2 0.194 0.716 0.197
O3 0.296 0.500 0.707
O4 0.390 0.000 0.615
O5 0.610 0.000 0.385
O6 0.704 0.500 0.293
O7 0.806 0.284 0.803
O8 0.806 0.716 0.803

3.
A relaxed Ac2MgNpO6 crystal. Source: the Alexandria database, functional PBE.

Values from the calculation:
The space-group type is No. 14. The crystal system is monoclinic. The formation energy (no corrections) is -297.2 kJ per mole of atoms.

a = 5.928 Å, b = 6.042 Å, c = 10.296 Å
α = 90.00°, β = 124.75°, γ = 90.00°
Atoms (fractional coordinates):
Ac1 0.238 0.045 0.249
Ac2 0.238 0.455 0.749
Ac3 0.762 0.545 0.251
Ac4 0.762 0.955 0.751
Mg1 0.000 0.000 0.500
Mg2 0.000 0.500 0.000
Np1 0.500 0.000 0.000
Np2 0.500 0.500 0.500
O1 0.149 0.207 0.949
O2 0.149 0.293 0.449
O3 0.236 0.702 0.947
O4 0.236 0.798 0.447
O5 0.343 0.034 0.745
O6 0.343 0.466 0.245
O7 0.657 0.534 0.755
O8 0.657 0.966 0.255
O9 0.764 0.202 0.553
O10 0.764 0.298 0.053
O11 0.851 0.707 0.551
O12 0.851 0.793 0.051

4.
A relaxed Ac2MgNpO8 crystal. Source: the Alexandria database, functional PBE.

Values from the calculation:
The space-group type is No. 2. The crystal system is triclinic. The formation energy (no corrections) is -261.8 kJ per mole of atoms.

a = 4.703 Å, b = 5.539 Å, c = 7.576 Å
α = 84.88°, β = 87.87°, γ = 84.48°
Atoms (fractional coordinates):
Ac1 0.105 0.013 0.241
Ac2 0.895 0.987 0.759
Mg1 0.500 0.500 0.000
Np1 0.500 0.500 0.500
O1 0.149 0.722 0.527
O2 0.225 0.792 0.985
O3 0.363 0.387 0.256
O4 0.372 0.222 0.656
O5 0.628 0.778 0.344
O6 0.637 0.613 0.744
O7 0.775 0.208 0.015
O8 0.851 0.278 0.473

5.
A relaxed Ac2MgNpRh6 crystal. Source: the Alexandria database, functional PBE.

Values from the calculation:
Its formation energy is -441 meV/atom. The space-group type is No. 2. The crystal system is triclinic.

a = 5.960 Å, b = 5.989 Å, c = 6.984 Å
α = 110.18°, β = 99.31°, γ = 107.04°
Atoms (fractional coordinates):
Ac1 0.014 0.191 0.299
Ac2 0.986 0.809 0.701
Mg1 0.500 0.000 0.500
Np1 0.500 0.500 0.000
Rh1 0.035 0.356 0.805
Rh2 0.355 0.868 0.085
Rh3 0.435 0.617 0.678
Rh4 0.565 0.383 0.322
Rh5 0.645 0.132 0.915
Rh6 0.965 0.644 0.195

6.
A relaxed Ac2MgNpSe6 crystal. Source: the Alexandria database, functional PBE.

Values from the calculation:
The space-group type is No. 14. The crystal system is monoclinic. The formation energy (no corrections) is -152.9 kJ per mole of atoms.

a = 7.072 Å, b = 7.830 Å, c = 12.412 Å
α = 90.00°, β = 123.37°, γ = 90.00°
Atoms (fractional coordinates):
Ac1 0.210 0.097 0.247
Ac2 0.210 0.403 0.747
Ac3 0.790 0.597 0.253
Ac4 0.790 0.903 0.753
Mg1 0.000 0.000 0.500
Mg2 0.000 0.500 0.000
Np1 0.500 0.000 0.000
Np2 0.500 0.500 0.500
Se1 0.119 0.190 0.943
Se2 0.119 0.310 0.443
Se3 0.262 0.686 0.942
Se4 0.262 0.814 0.442
Se5 0.364 0.031 0.743
Se6 0.364 0.469 0.243
Se7 0.636 0.531 0.757
Se8 0.636 0.969 0.257
Se9 0.738 0.186 0.558
Se10 0.738 0.314 0.058
Se11 0.881 0.690 0.557
Se12 0.881 0.810 0.057

7.
A relaxed AcMgO3 crystal. Source: the Alexandria database, functional PBE.

Values from the calculation:
The space-group type is No. 221. The crystal system is cubic. The formation energy (no corrections) is -250.1 kJ per mole of atoms.

a = 4.014 Å, b = 4.014 Å, c = 4.014 Å
α = 90.00°, β = 90.00°, γ = 90.00°
Atoms (fractional coordinates):
Ac1 0.000 0.000 0.000
Mg1 0.500 0.500 0.500
O1 0.000 0.500 0.500
O2 0.500 0.000 0.500
O3 0.500 0.500 0.000

8.
A relaxed Ac4Mg2O crystal. Source: the Alexandria database, functional PBE.

Values from the calculation:
The space-group type is No. 139. The crystal system is tetragonal. The formation energy (no corrections) is -63.1 kJ per mole of atoms.

a = 9.449 Å, b = 9.449 Å, c = 9.449 Å
α = 147.69°, β = 147.69°, γ = 46.34°
Atoms (fractional coordinates):
Ac1 0.000 0.500 0.500
Ac2 0.166 0.166 0.000
Ac3 0.500 0.000 0.500
Ac4 0.834 0.834 0.000
Mg1 0.367 0.367 0.000
Mg2 0.633 0.633 0.000
O1 0.000 0.000 0.000

9.
A relaxed AcMgO2 crystal. Source: the Alexandria database, functional PBE.

Values from the calculation:
The space-group type is No. 166. The crystal system is trigonal. The formation energy (no corrections) is -225.8 kJ per mole of atoms.

a = 6.215 Å, b = 6.215 Å, c = 6.215 Å
α = 31.45°, β = 31.45°, γ = 31.45°
Atoms (fractional coordinates):
Ac1 0.000 0.000 0.000
Mg1 0.500 0.500 0.500
O1 0.231 0.231 0.231
O2 0.769 0.769 0.769

10.
A relaxed Ac3MgO crystal. Source: the Alexandria database, functional PBE.

Values from the calculation:
The space-group type is No. 221. The crystal system is cubic. The formation energy (no corrections) is -103.0 kJ per mole of atoms.

a = 5.355 Å, b = 5.355 Å, c = 5.355 Å
α = 90.00°, β = 90.00°, γ = 90.00°
Atoms (fractional coordinates):
Ac1 0.000 0.000 0.500
Ac2 0.000 0.500 0.000
Ac3 0.500 0.000 0.000
Mg1 0.500 0.500 0.500
O1 0.000 0.000 0.000

11.
A relaxed AcMgOsO6 crystal. Source: the Alexandria database, functional PBE.

Values from the calculation:
The space-group type is No. 149. The crystal system is trigonal. The formation energy (no corrections) is -199.6 kJ per mole of atoms.

a = 5.295 Å, b = 5.295 Å, c = 5.305 Å
α = 90.00°, β = 90.00°, γ = 120.00°
Atoms (fractional coordinates):
Ac1 0.000 0.000 0.000
Mg1 0.333 0.667 0.500
Os1 0.667 0.333 0.500
O1 0.385 0.025 0.705
O2 0.385 0.360 0.295
O3 0.640 0.025 0.295
O4 0.640 0.615 0.705
O5 0.975 0.360 0.705
O6 0.975 0.615 0.295

12.
A relaxed AcMgOs2O8 crystal. Source: the Alexandria database, functional PBE.

Values from the calculation:
The space-group type is No. 147. The crystal system is trigonal. The formation energy (no corrections) is -150.9 kJ per mole of atoms.

a = 5.778 Å, b = 5.778 Å, c = 7.009 Å
α = 90.00°, β = 90.00°, γ = 120.00°
Atoms (fractional coordinates):
Ac1 0.000 0.000 0.000
Mg1 0.000 0.000 0.500
Os1 0.333 0.667 0.745
Os2 0.667 0.333 0.255
O1 0.152 0.845 0.700
O2 0.155 0.307 0.700
O3 0.307 0.152 0.300
O4 0.333 0.667 0.008
O5 0.667 0.333 0.992
O6 0.693 0.848 0.700
O7 0.845 0.693 0.300
O8 0.848 0.155 0.300

13.
A relaxed Ac2MgPaO6 crystal. Source: the Alexandria database, functional PBE.

Values from the calculation:
The space-group type is No. 14. The crystal system is monoclinic. The formation energy (no corrections) is -309.0 kJ per mole of atoms.

a = 5.966 Å, b = 6.080 Å, c = 10.352 Å
α = 90.00°, β = 124.62°, γ = 90.00°
Atoms (fractional coordinates):
Ac1 0.237 0.045 0.249
Ac2 0.237 0.455 0.749
Ac3 0.763 0.545 0.251
Ac4 0.763 0.955 0.751
Mg1 0.000 0.000 0.500
Mg2 0.000 0.500 0.000
Pa1 0.500 0.000 0.000
Pa2 0.500 0.500 0.500
O1 0.145 0.208 0.947
O2 0.145 0.292 0.447
O3 0.233 0.700 0.944
O4 0.233 0.800 0.444
O5 0.345 0.036 0.744
O6 0.345 0.464 0.244
O7 0.655 0.536 0.756
O8 0.655 0.964 0.256
O9 0.767 0.200 0.556
O10 0.767 0.300 0.056
O11 0.855 0.708 0.553
O12 0.855 0.792 0.053

14.
A relaxed AcMgPa2O8 crystal. Source: the Alexandria database, functional PBE.

Values from the calculation:
The space-group type is No. 82. The crystal system is tetragonal. The formation energy (no corrections) is -306.4 kJ per mole of atoms.

a = 6.686 Å, b = 6.686 Å, c = 6.686 Å
α = 131.18°, β = 131.18°, γ = 71.52°
Atoms (fractional coordinates):
Ac1 0.000 0.000 0.000
Mg1 0.250 0.750 0.500
Pa1 0.500 0.500 0.000
Pa2 0.750 0.250 0.500
O1 0.117 0.187 0.533
O2 0.140 0.613 0.039
O3 0.387 0.426 0.527
O4 0.416 0.883 0.069
O5 0.574 0.101 0.961
O6 0.654 0.584 0.467
O7 0.813 0.346 0.931
O8 0.899 0.860 0.473

15.
A relaxed AcMg4Pb3O12 crystal. Source: the Alexandria database, functional PBE.

Values from the calculation:
The space-group type is No. 204. The crystal system is cubic. The formation energy (no corrections) is -175.2 kJ per mole of atoms.

a = 6.863 Å, b = 6.863 Å, c = 6.863 Å
α = 109.47°, β = 109.47°, γ = 109.47°
Atoms (fractional coordinates):
Ac1 0.000 0.000 0.000
Mg1 0.000 0.000 0.500
Mg2 0.000 0.500 0.000
Mg3 0.500 0.000 0.000
Mg4 0.500 0.500 0.500
Pb1 0.000 0.500 0.500
Pb2 0.500 0.000 0.500
Pb3 0.500 0.500 0.000
O1 0.118 0.816 0.302
O2 0.184 0.302 0.485
O3 0.184 0.698 0.882
O4 0.302 0.118 0.816
O5 0.302 0.485 0.184
O6 0.485 0.184 0.302
O7 0.515 0.816 0.698
O8 0.698 0.515 0.816
O9 0.698 0.882 0.184
O10 0.816 0.302 0.118
O11 0.816 0.698 0.515
O12 0.882 0.184 0.698

16.
A relaxed Ac2MgPdO6 crystal. Source: the Alexandria database, functional PBE.

Values from the calculation:
The space-group type is No. 14. The crystal system is monoclinic. The formation energy (no corrections) is -233.7 kJ per mole of atoms.

a = 5.751 Å, b = 5.714 Å, c = 9.908 Å
α = 90.00°, β = 125.37°, γ = 90.00°
Atoms (fractional coordinates):
Ac1 0.245 0.026 0.250
Ac2 0.245 0.474 0.750
Ac3 0.755 0.526 0.250
Ac4 0.755 0.974 0.750
Mg1 0.500 0.000 0.000
Mg2 0.500 0.500 0.500
Pd1 0.000 0.000 0.500
Pd2 0.000 0.500 0.000
O1 0.184 0.225 0.964
O2 0.184 0.275 0.464
O3 0.237 0.721 0.963
O4 0.237 0.779 0.463
O5 0.315 0.010 0.748
O6 0.315 0.490 0.248
O7 0.685 0.510 0.752
O8 0.685 0.990 0.252
O9 0.763 0.221 0.537
O10 0.763 0.279 0.037
O11 0.816 0.725 0.536
O12 0.816 0.775 0.036

17.
A relaxed Ac2MgPtO6 crystal. Source: the Alexandria database, functional PBE.

Values from the calculation:
The space-group type is No. 14. The crystal system is monoclinic. The formation energy (no corrections) is -238.3 kJ per mole of atoms.

a = 5.759 Å, b = 5.735 Å, c = 9.941 Å
α = 90.00°, β = 125.39°, γ = 90.00°
Atoms (fractional coordinates):
Ac1 0.244 0.029 0.250
Ac2 0.244 0.471 0.750
Ac3 0.756 0.529 0.250
Ac4 0.756 0.971 0.750
Mg1 0.500 0.000 0.000
Mg2 0.500 0.500 0.500
Pt1 0.000 0.000 0.500
Pt2 0.000 0.500 0.000
O1 0.181 0.222 0.963
O2 0.181 0.278 0.463
O3 0.240 0.719 0.962
O4 0.240 0.781 0.462
O5 0.317 0.012 0.748
O6 0.317 0.488 0.248
O7 0.683 0.512 0.752
O8 0.683 0.988 0.252
O9 0.760 0.219 0.538
O10 0.760 0.281 0.038
O11 0.819 0.722 0.537
O12 0.819 0.778 0.037

18.
A relaxed Ac2MgPtO5 crystal. Source: the Alexandria database, functional PBE.

Values from the calculation:
The space-group type is No. 127. The crystal system is tetragonal. The formation energy (no corrections) is -203.1 kJ per mole of atoms.

a = 7.127 Å, b = 7.127 Å, c = 5.807 Å
α = 90.00°, β = 90.00°, γ = 90.00°
Atoms (fractional coordinates):
Ac1 0.173 0.327 0.000
Ac2 0.327 0.827 0.000
Ac3 0.673 0.173 0.000
Ac4 0.827 0.673 0.000
Mg1 0.000 0.000 0.500
Mg2 0.500 0.500 0.500
Pt1 0.000 0.500 0.500
Pt2 0.500 0.000 0.500
O1 0.000 0.000 0.000
O2 0.146 0.646 0.263
O3 0.146 0.646 0.737
O4 0.354 0.146 0.263
O5 0.354 0.146 0.737
O6 0.500 0.500 0.000
O7 0.646 0.854 0.263
O8 0.646 0.854 0.737
O9 0.854 0.354 0.263
O10 0.854 0.354 0.737

19.
A relaxed Ac2PuMgO6 crystal. Source: the Alexandria database, functional PBE.

Values from the calculation:
The space-group type is No. 14. The crystal system is monoclinic. The formation energy (no corrections) is -299.2 kJ per mole of atoms.

a = 5.922 Å, b = 6.022 Å, c = 10.277 Å
α = 90.00°, β = 124.80°, γ = 90.00°
Atoms (fractional coordinates):
Ac1 0.238 0.044 0.249
Ac2 0.238 0.456 0.749
Ac3 0.762 0.544 0.251
Ac4 0.762 0.956 0.751
Pu1 0.500 0.000 0.000
Pu2 0.500 0.500 0.500
Mg1 0.000 0.000 0.500
Mg2 0.000 0.500 0.000
O1 0.150 0.208 0.949
O2 0.150 0.292 0.449
O3 0.236 0.703 0.947
O4 0.236 0.797 0.447
O5 0.343 0.032 0.746
O6 0.343 0.468 0.246
O7 0.657 0.532 0.754
O8 0.657 0.968 0.254
O9 0.764 0.203 0.553
O10 0.764 0.297 0.053
O11 0.850 0.708 0.551
O12 0.850 0.792 0.051